MgVP4O12: relaxed, GGA+U.

* spin magnetization: 12.00 μB/cell
* electronic total energy: -7.266 eV/atom
* V: 12.635 Å³ per atom

a = 12.0255 Å, b = 8.4091 Å, c = 10.2956 Å
α = 90.00°, β = 119.10°, γ = 90.00°
Closest atoms and distances in Å follow each position.
Space group C2/c (No. 15)
Unique sites:
Mg 0.0000 0.0458 0.2500 x4  6 O 2.01-2.19
V 0.2500 0.2500 0.5000 x4  6 O 2.12-2.19
P 0.0079 0.2603 0.9779 x8  4 O 1.48-1.62
P 0.1958 0.4883 0.1909 x8  4 O 1.48-1.61
O 0.0268 0.1231 0.9012 x8  1 P 1.48
O 0.0445 0.2335 0.4157 x8  1 P 1.52
O 0.0787 0.3912 0.6447 x8  2 P 1.61-1.62
O 0.1415 0.3531 0.0634 x8  2 P 1.61
O 0.2006 0.0722 0.3269 x8  1 P 1.52
O 0.2291 0.4218 0.3384 x8  1 P 1.48

***

MgVP2O: relaxed, GGA+U.

* spin magnetization: 0.45 μB/cell
* energy relative to the lowest polymorph listed for this composition: 937 meV/atom
* electronic total energy: -4.287 eV/atom
* V: 17.112 Å³ per atom

a = 4.8731 Å, b = 4.8731 Å, c = 3.6030 Å
α = 90.00°, β = 90.00°, γ = 90.00°
Closest atoms and distances in Å follow each position.
Space group P4/mmm (No. 123)
Unique sites:
Mg 0.0000 0.0000 0.0000 x1  2 O 1.80
V 0.5000 0.5000 0.5000 x1  8 P 3.03
P 0.0000 0.5000 0.0000 x2  2 Mg 2.44
O 0.0000 0.0000 0.5000 x1  2 Mg 1.80

***

MgVP2O7: relaxed, GGA+U.

* spin magnetization: 6.00 μB/cell
* energy relative to the lowest polymorph listed for this composition: 12 meV/atom
* electronic total energy: -7.284 eV/atom
* V: 11.338 Å³ per atom

a = 5.3865 Å, b = 6.5885 Å, c = 7.4850 Å
α = 80.21°, β = 83.96°, γ = 72.65°
Closest atoms and distances in Å follow each position.
Space group P-1 (No. 2)
Unique sites:
Mg 0.1850 0.3469 0.3465 x2  6 O 2.08-2.23
V 0.1890 0.8402 0.8396 x2  6 O 2.14-2.31
P 0.2809 0.3146 0.9081 x2  4 O 1.53-1.58
P 0.2822 0.8118 0.4030 x2  4 O 1.54-1.59
O 0.1197 0.6516 0.4273 x2  1 P 1.54
O 0.1226 0.5393 0.8247 x2  1 P 1.53
O 0.1248 0.1505 0.9281 x2  1 P 1.54
O 0.1303 0.0457 0.3379 x2  1 P 1.54
O 0.4081 0.3116 0.0830 x2  1 P 1.54
O 0.4361 0.7903 0.5706 x2  1 P 1.54
O 0.4836 0.7529 0.2360 x2  2 P 1.58-1.59